Below is MgZr5 after structural relaxation, with properties calculated at the PBE level.

density of states at the Fermi level	1.035	states/eV per atom
E_tot	-7.363	eV per atom

a b c (Å): 6.1160 6.1160 7.6292
angles (deg): 103.77 103.77 30.04
Atoms (fractional coordinates):
1 Mg 0.0000 0.0000 0.0000
2 Zr 0.2749 0.2749 0.0456
3 Zr 0.3235 0.3235 0.6628
4 Zr 0.6039 0.6039 0.7110
5 Zr 0.6635 0.6635 0.3217
6 Zr 0.9377 0.9377 0.3847


Below is MgZr after structural relaxation, with properties calculated at the PBE level.

density of states at the Fermi level	1.184	states/eV per atom
E_tot	-4.953	eV per atom

a b c (Å): 5.5259 5.5259 5.5259
angles (deg): 133.07 133.07 68.54
Atoms (fractional coordinates):
1 Mg 0.3750 0.6250 0.7500
2 Mg 0.6250 0.3750 0.2500
3 Zr 0.1250 0.8750 0.2500
4 Zr 0.8750 0.1250 0.7500


Below is MgZr2 after structural relaxation, with properties calculated at the PBE level.

density of states at the Fermi level	2.121	states/eV per atom
E_tot	-6.102	eV per atom

a b c (Å): 5.0032 5.0032 6.2137
angles (deg): 90.00 90.00 120.00
Atoms (fractional coordinates):
1 Mg 0.3333 0.6667 0.2500
2 Mg 0.6667 0.3333 0.7500
3 Zr 0.0000 0.0000 0.0000
4 Zr 0.0000 0.0000 0.5000
5 Zr 0.3333 0.6667 0.7500
6 Zr 0.6667 0.3333 0.2500


Below is MgZr after structural relaxation, with properties calculated at the PBE level.

density of states at the Fermi level	0.600	states/eV per atom
E_tot	-5.013	eV per atom

a b c (Å): 3.0596 3.0596 5.5159
angles (deg): 90.00 90.00 120.00
Atoms (fractional coordinates):
1 Mg 0.0000 0.0000 0.0000
2 Zr 0.6667 0.3333 0.5000


Below is MgZr2 after structural relaxation, with properties calculated at the PBE level.

density of states at the Fermi level	1.831	states/eV per atom
E_tot	-5.897	eV per atom

a b c (Å): 7.4410 7.4410 4.3214
angles (deg): 90.00 90.00 120.00
Atoms (fractional coordinates):
1 Mg 0.0000 0.0000 0.0000
2 Mg 0.3333 0.6667 0.5000
3 Mg 0.6667 0.3333 0.5000
4 Zr 0.0000 0.2459 0.5000
5 Zr 0.0000 0.5807 0.0000
6 Zr 0.2459 0.0000 0.5000
7 Zr 0.4193 0.4193 0.0000
8 Zr 0.5807 0.0000 0.0000
9 Zr 0.7541 0.7541 0.5000


Below is Mg7Zr2 after structural relaxation, with properties calculated at the PBE level.

density of states at the Fermi level	0.806	states/eV per atom
E_tot	-3.077	eV per atom

a b c (Å): 5.4937 5.4937 7.8089
angles (deg): 90.00 90.00 120.00
Atoms (fractional coordinates):
1 Mg 0.0000 0.0000 0.0000
2 Mg 0.0000 0.3328 0.6694
3 Mg 0.0000 0.6672 0.3306
4 Mg 0.3328 0.0000 0.6694
5 Mg 0.3328 0.3328 0.3306
6 Mg 0.6672 0.0000 0.3306
7 Mg 0.6672 0.6672 0.6694
8 Zr 0.3333 0.6667 0.0000
9 Zr 0.6667 0.3333 0.0000


Below is MgZr after structural relaxation, with properties calculated at the PBE level.

density of states at the Fermi level	0.946	states/eV per atom
E_tot	-4.965	eV per atom

a b c (Å): 5.6067 5.1149 6.1820
angles (deg): 90.00 90.00 90.00
Atoms (fractional coordinates):
1 Mg 0.0880 0.2500 0.1306
2 Mg 0.4120 0.7500 0.6306
3 Mg 0.5880 0.2500 0.3694
4 Mg 0.9120 0.7500 0.8694
5 Zr 0.1175 0.2500 0.6360
6 Zr 0.3825 0.7500 0.1360
7 Zr 0.6175 0.2500 0.8640
8 Zr 0.8825 0.7500 0.3640


Below is Mg5Zr3 after structural relaxation, with properties calculated at the PBE level.

density of states at the Fermi level	0.651	states/eV per atom
E_tot	-4.149	eV per atom

a b c (Å): 6.3601 6.3601 4.4183
angles (deg): 90.00 90.00 91.85
Atoms (fractional coordinates):
1 Mg 0.0000 0.0000 0.0000
2 Mg 0.0000 0.5000 0.0000
3 Mg 0.2449 0.7551 0.5000
4 Mg 0.5000 0.0000 0.0000
5 Mg 0.7551 0.2449 0.5000
6 Zr 0.2666 0.2666 0.5000
7 Zr 0.5000 0.5000 0.0000
8 Zr 0.7334 0.7334 0.5000


Below is MgZr after structural relaxation, with properties calculated at the PBE level.

density of states at the Fermi level	1.216	states/eV per atom
E_tot	-4.516	eV per atom

a b c (Å): 5.7021 5.7021 5.8904
angles (deg): 90.00 90.00 90.00
Atoms (fractional coordinates):
1 Mg 0.1753 0.1753 0.0000
2 Mg 0.3247 0.6753 0.5000
3 Mg 0.6753 0.3247 0.5000
4 Mg 0.8247 0.8247 0.0000
5 Zr 0.1727 0.1727 0.5000
6 Zr 0.3272 0.6728 0.0000
7 Zr 0.6728 0.3272 0.0000
8 Zr 0.8272 0.8272 0.5000


Below is MgZr7 after structural relaxation, with properties calculated at the PBE level.

density of states at the Fermi level	1.818	states/eV per atom
E_tot	-7.615	eV per atom

a b c (Å): 6.3828 6.3828 6.3828
angles (deg): 60.00 60.00 60.00
Atoms (fractional coordinates):
1 Mg 0.0000 0.0000 0.0000
2 Zr 0.0000 0.0000 0.5000
3 Zr 0.0000 0.5000 0.0000
4 Zr 0.0000 0.5000 0.5000
5 Zr 0.5000 0.0000 0.0000
6 Zr 0.5000 0.0000 0.5000
7 Zr 0.5000 0.5000 0.0000
8 Zr 0.5000 0.5000 0.5000


Below is Mg5Zr7 after structural relaxation, with properties calculated at the PBE level.

density of states at the Fermi level	0.955	states/eV per atom
E_tot	-5.626	eV per atom

a b c (Å): 8.5175 8.5175 11.0917
angles (deg): 110.04 110.04 21.33
Atoms (fractional coordinates):
1 Mg 0.0000 0.0000 0.0000
2 Mg 0.5060 0.5060 0.7568
3 Mg 0.6667 0.6667 0.0058
4 Mg 0.8378 0.8378 0.7572
5 Mg 0.8914 0.8914 0.5111
6 Zr 0.1699 0.1699 0.7503
7 Zr 0.2189 0.2189 0.4996
8 Zr 0.2792 0.2792 0.2606
9 Zr 0.3355 0.3355 0.0100
10 Zr 0.5595 0.5595 0.5058
11 Zr 0.6080 0.6080 0.2567
12 Zr 0.9440 0.9440 0.2496


Below is MgZr after structural relaxation, with properties calculated at the PBE level.

density of states at the Fermi level	0.888	states/eV per atom
E_tot	-5.037	eV per atom

a b c (Å): 10.5531 10.5531 10.5531
angles (deg): 17.63 17.63 17.63
Atoms (fractional coordinates):
1 Mg 0.1245 0.1245 0.1245
2 Mg 0.8755 0.8755 0.8755
3 Zr 0.3729 0.3729 0.3729
4 Zr 0.6271 0.6271 0.6271


Below is MgZr after structural relaxation, with properties calculated at the PBE level.

density of states at the Fermi level	0.962	states/eV per atom
E_tot	-5.045	eV per atom

a b c (Å): 5.6859 5.6859 5.4797
angles (deg): 110.95 110.95 33.00
Atoms (fractional coordinates):
1 Mg 0.1272 0.1272 0.4349
2 Mg 0.8728 0.8728 0.5651
3 Zr 0.3743 0.3743 0.0667
4 Zr 0.6257 0.6257 0.9333


Below is MgZr2 after structural relaxation, with properties calculated at the PBE level.

density of states at the Fermi level	0.669	states/eV per atom
E_tot	-6.203	eV per atom

a b c (Å): 8.0111 8.0111 8.0111
angles (deg): 23.25 23.25 23.25
Atoms (fractional coordinates):
1 Mg 0.0000 0.0000 0.0000
2 Zr 0.2197 0.2197 0.2197
3 Zr 0.7803 0.7803 0.7803


Below is MgZr2 after structural relaxation, with properties calculated at the PBE level.

density of states at the Fermi level	1.029	states/eV per atom
E_tot	-6.167	eV per atom

a b c (Å): 6.1983 6.1983 7.6523
angles (deg): 105.81 105.81 28.93
Atoms (fractional coordinates):
1 Mg 0.0000 0.0000 0.0000
2 Mg 0.6605 0.6605 0.3235
3 Zr 0.2773 0.2773 0.0433
4 Zr 0.3248 0.3248 0.6535
5 Zr 0.6058 0.6058 0.7186
6 Zr 0.9340 0.9340 0.3834


Below is MgZr2 after structural relaxation, with properties calculated at the PBE level.

density of states at the Fermi level	0.527	states/eV per atom
E_tot	-6.008	eV per atom

a b c (Å): 5.8025 5.8025 5.8025
angles (deg): 100.61 100.61 129.17
Atoms (fractional coordinates):
1 Mg 0.2500 0.2500 0.0000
2 Mg 0.7500 0.7500 0.0000
3 Zr 0.1465 0.6465 0.7929
4 Zr 0.3535 0.1465 0.5000
5 Zr 0.6465 0.8535 0.5000
6 Zr 0.8535 0.3535 0.2071


Below is MgZr after structural relaxation, with properties calculated at the PBE level.

density of states at the Fermi level	1.779	states/eV per atom
E_tot	-3.145	eV per atom

a b c (Å): 4.6028 4.6028 4.6028
angles (deg): 60.00 60.00 60.00
Atoms (fractional coordinates):
1 Mg 0.0000 0.0000 0.0000
2 Zr 0.2500 0.2500 0.2500


Below is MgZr4 after structural relaxation, with properties calculated at the PBE level.

density of states at the Fermi level	1.105	states/eV per atom
E_tot	-6.691	eV per atom

a b c (Å): 7.7159 7.7159 7.7159
angles (deg): 148.67 148.67 44.89
Atoms (fractional coordinates):
1 Mg 0.0000 0.0000 0.0000
2 Zr 0.2500 0.7500 0.5000
3 Zr 0.4082 0.4082 0.0000
4 Zr 0.5918 0.5918 0.0000
5 Zr 0.7500 0.2500 0.5000


Below is Mg2Zr after structural relaxation, with properties calculated at the PBE level.

density of states at the Fermi level	0.894	states/eV per atom
E_tot	-3.841	eV per atom

a b c (Å): 6.2938 4.5317 9.4072
angles (deg): 90.00 90.00 90.00
Atoms (fractional coordinates):
1 Mg 0.1124 0.2500 0.2442
2 Mg 0.1359 0.2500 0.9113
3 Mg 0.3641 0.7500 0.4113
4 Mg 0.3876 0.7500 0.7442
5 Mg 0.6124 0.2500 0.2558
6 Mg 0.6359 0.2500 0.5887
7 Mg 0.8641 0.7500 0.0887
8 Mg 0.8876 0.7500 0.7558
9 Zr 0.1243 0.2500 0.5759
10 Zr 0.3757 0.7500 0.0759
11 Zr 0.6243 0.2500 0.9241
12 Zr 0.8757 0.7500 0.4241


Below is Mg2Zr after structural relaxation, with properties calculated at the PBE level.

density of states at the Fermi level	1.185	states/eV per atom
E_tot	-3.428	eV per atom

a b c (Å): 5.4905 5.4905 2.9643
angles (deg): 90.00 90.00 90.00
Atoms (fractional coordinates):
1 Mg 0.0000 0.5000 0.0000
2 Mg 0.5000 0.0000 0.0000
3 Zr 0.0000 0.0000 0.5000